No. 1
## MnNb6Mo5 (GGA-PBE)

Data for a relaxed MnNb6Mo5 crystal.

## Properties
D(E_F) = 6.3 states/eV per cell
SG = Immm, No. 71
E_form = -0.117 eV/atom
E_tot = -125.15 eV/cell

```
MnNb6Mo5
1.0
-2.276 3.210 6.807
2.276 -3.210 6.807
2.276 3.210 -6.807
Mn Nb Mo
1 6 5
Cartesian
0.000 0.000 0.000
2.276 -1.617 4.566
2.276 1.580 0.000
0.000 1.593 2.241
2.276 1.617 4.566
0.000 1.630 6.807
0.000 4.828 2.241
2.276 0.000 2.249
0.000 0.000 4.540
0.000 3.210 0.000
0.000 0.000 9.074
0.000 3.210 4.558
```

***

No. 2
## IrN3F (GGA-PBE)

Data for a relaxed IrN3F crystal.

## Properties
energy relative to the elements, uncorrected = 1.41 eV per atom
D(E_F) = 4.2 states/eV per cell
SG = Pm-3m, No. 221
E_tot = -28.65 eV/cell

```
IrN3F
1.0
3.799 0.000 0.000
0.000 3.799 0.000
0.000 0.000 3.799
Ir N F
1 3 1
Cartesian
0.000 0.000 0.000
0.000 0.000 1.899
0.000 1.899 0.000
1.899 0.000 0.000
1.899 1.899 1.899
```

***

No. 3
## Gd2PuMn (GGA-PBE)

Data for a relaxed Gd2PuMn crystal.

## Properties
D(E_F) = 6.8 states/eV per cell
SG = P4/mmm, No. 123
E_form = 0.223 eV/atom
E_tot = -50.77 eV/cell
energy above the most stable polymorph in this dataset = 0 meV per atom

```
Gd2PuMn
1.0
3.529 0.000 0.000
0.000 3.529 0.000
0.000 0.000 8.549
Gd Pu Mn
2 1 1
Cartesian
0.000 0.000 1.769
0.000 0.000 6.780
1.765 1.765 4.275
1.765 1.765 0.000
```

***

No. 4
## CdPAu (GGA-PBE)

Data for a relaxed CdPAu crystal.

## Properties
D(E_F) = 1.3 states/eV per cell
SG = Pm, No. 6
E_form = 0.005 eV/atom
E_tot = -19.18 eV/cell

```
CdPAu
1.0
5.900 0.000 0.000
0.000 3.774 0.000
-1.416 0.000 5.819
Cd P Au
2 2 2
Cartesian
0.000 0.000 0.000
0.444 0.000 3.635
-0.371 1.887 1.969
3.383 1.887 1.989
2.984 0.000 0.448
2.603 1.887 4.274
```

***

No. 5
## Tc3SnBi (GGA-PBE)

Data for a relaxed Tc3SnBi crystal.

## Properties
D(E_F) = 6.4 states/eV per cell
SG = Pm-3m, No. 221
E_form = 1.803 eV/atom
E_tot = -29.97 eV/cell
energy above the most stable polymorph in this dataset = 0 meV per atom

```
Tc3SnBi
1.0
4.930 0.000 0.000
0.000 4.930 0.000
0.000 0.000 4.930
Tc Sn Bi
3 1 1
Cartesian
0.000 0.000 2.465
0.000 2.465 0.000
2.465 0.000 0.000
0.000 0.000 0.000
2.465 2.465 2.465
```

***

No. 6
## Ce6InPb2 (GGA-PBE)

Data for a relaxed Ce6InPb2 crystal.

## Properties
D(E_F) = 24.1 states/eV per cell
SG = Immm, No. 71
E_form = -0.176 eV/atom
E_tot = -47.34 eV/cell
energy above the most stable polymorph in this dataset = 12 meV per atom

```
Ce6InPb2
1.0
-1.609 4.445 8.550
1.609 -4.445 8.550
1.609 4.445 -8.550
Ce In Pb
6 1 2
Cartesian
1.609 3.091 -5.784
0.000 1.354 2.766
0.000 3.068 0.000
0.000 5.822 0.000
1.609 3.091 5.784
0.000 1.354 14.334
1.609 0.000 0.000
0.000 0.000 5.812
0.000 0.000 11.288
```